VASP calculation (GGA-PBE) on a relaxed Sm4PdRh2 crystal.

Values from the calculation:
* DOS at the Fermi energy: 0.24 states/eV/atom
* DFT formation energy: -0.7004 eV per atom

CIF file:
```
data_Sm4PdRh2
_cell_length_a 8.853
_cell_length_b 8.853
_cell_length_c 8.775
_cell_angle_alpha 90.00
_cell_angle_beta 90.00
_cell_angle_gamma 90.00
_symmetry_space_group_name_H-M 'I -4 2 d'
_symmetry_Int_Tables_number 122
_symmetry_space_group_name_Hall 'I -4 2bw'
loop_
_atom_site_label
_atom_site_fract_x
_atom_site_fract_y
_atom_site_fract_z
Sm1 0.061 0.187 0.320
Pd1 0.000 0.000 0.000
Rh1 0.129 0.250 0.625
```